No. 1
VASP calculation (PBEsol) on a geometry-optimized Ca3As structure.

Geometry as CIF:
```
data_Ca3As
_chemical_formula_sum 'Ca3 As1'
_space_group_name_H-M_alt 'P 1 2/m 1'
_space_group_IT_number 10
_cell_length_a 4.219
_cell_length_b 4.193
_cell_length_c 6.888
_cell_angle_alpha 90.00
_cell_angle_beta 98.70
_cell_angle_gamma 90.00
loop_
_space_group_symop_operation_xyz
'x,y,z'
'-x,-y,-z'
'-x,y,-z'
'x,-y,z'
loop_
_atom_site_label
_atom_site_type_symbol
_atom_site_fract_x
_atom_site_fract_y
_atom_site_fract_z
Ca1 Ca 0.000 0.000 0.000
Ca2 Ca 0.403 0.500 0.709
As1 As 0.000 0.000 0.500
```

Calculated values
uncorrected energy: -3.395 eV per atom
energy above the most stable polymorph in this dataset: 0.084 eV/atom
D(E_F): 0.60 states/eV/atom
DFT formation energy: -0.518 eV/atom

---

No. 2
VASP calculation (PBEsol) on a geometry-optimized Ca5As3 structure.

Geometry as CIF:
```
data_Ca5As3
_chemical_formula_sum 'Ca10 As6'
_space_group_name_H-M_alt 'P 63/m c m'
_space_group_IT_number 193
_space_group_name_Hall '-P 6c 2'
_cell_length_a 8.4324
_cell_length_b 8.4324
_cell_length_c 6.6521
_cell_angle_alpha 90.00
_cell_angle_beta 90.00
_cell_angle_gamma 120.00
loop_
_atom_site_label
_atom_site_type_symbol
_atom_site_fract_x
_atom_site_fract_y
_atom_site_fract_z
Ca1 Ca 0.0000 0.2542 0.2500
Ca2 Ca 0.3333 0.6667 0.0000
As1 As 0.0000 0.3898 0.7500
```

Calculated values
uncorrected energy: -4.382 eV per atom
D(E_F): 0.16 states/eV/atom
DFT formation energy: -1.134 eV/atom

---

No. 3
VASP calculation (PBEsol) on a geometry-optimized CaAs structure.

Geometry as CIF:
```
data_CaAs
_chemical_formula_sum 'Ca4 As4'
_space_group_name_H-M_alt 'C 1 2/m 1'
_space_group_IT_number 12
_cell_length_a 11.369
_cell_length_b 3.341
_cell_length_c 4.972
_cell_angle_alpha 90.00
_cell_angle_beta 95.49
_cell_angle_gamma 90.00
loop_
_space_group_symop_operation_xyz
'x,y,z'
'-x,-y,-z'
'-x,y,-z'
'x,-y,z'
'x+1/2,y+1/2,z'
'-x+1/2,-y+1/2,-z'
'-x+1/2,y+1/2,-z'
'x+1/2,-y+1/2,z'
loop_
_atom_site_label
_atom_site_type_symbol
_atom_site_fract_x
_atom_site_fract_y
_atom_site_fract_z
Ca1 Ca 0.122 0.000 0.244
As1 As 0.116 0.500 0.739
```

Calculated values
uncorrected energy: -4.510 eV per atom
D(E_F): 0.43 states/eV/atom
DFT formation energy: -0.891 eV/atom

---

- The lowest D(E_F) belongs to which entry?
  Ca5As3